# Tm3Zn4Cu4

A relaxed structure of Tm3Zn4Cu4 (GGA-PBE, Alexandria).

The formation energy is -27.67 kJ/mol of atoms. Its volume is 196.2 Å³ per cell. As for the uncorrected energy: -38.05 eV per cell. Its spin magnetization is 0.00 μB per atom. Its crystal system is triclinic.

The structure belongs to space group P-1 (No. 2); the cell edges are 3.545, 4.177 and 13.520 Å and the angles 81.27°, 82.59° and 89.97°. The distinct sites, in fractional coordinates, are Tm at (0.000, 0.000, 0.000), Tm at (0.147, 0.645, 0.709), Zn at (0.256, 0.257, 0.488), Zn at (0.403, 0.906, 0.190), Cu at (0.310, 0.814, 0.376) and Cu at (0.451, 0.454, 0.093).